DFT (PBE) results for a relaxed structure of YNi2Te.

The structure belongs to space group P2_1/m (No. 11); the cell edges are 4.935, 4.076 and 7.199 Å and the angles 90.00°, 94.41° and 90.00°. The inequivalent atoms are Y at (0.145, 0.250, 0.201), Ni at (0.163, 0.750, 0.476), Ni at (0.371, 0.750, 0.960) and Te at (0.354, 0.250, 0.698).

As for the total energy: -44.54 eV per cell.